No. 1
# Nd2DyC2Cl2

Nd2DyC2Cl2 after structural relaxation (PBE, Alexandria).

Unit cell a=4.5594 b=4.5594 c=8.0013 alpha=106.55 beta=106.55 gamma=90.00
Element x y z (fractional)
Nd 0.3946 0.3946 0.7891
Nd 0.6054 0.6054 0.2109
Dy 0.0000 0.0000 0.0000
C 0.0000 0.5000 0.0000
C 0.5000 0.0000 0.0000
Cl 0.1940 0.1940 0.3880
Cl 0.8060 0.8060 0.6120

Properties
**Volume**: 21.7 A^3/atom
**Total magnetic moment**: 0.00 μB per cell
**Density of states at the Fermi level**: 1.04 states/eV per cell
**E_tot**: -5.96 eV per atom

***

No. 2
# Pr2DyC2Cl2

Pr2DyC2Cl2 after structural relaxation (PBE, Alexandria).

Unit cell a=4.5709 b=4.5709 c=8.0645 alpha=106.46 beta=106.46 gamma=90.00
Element x y z (fractional)
Pr 0.3941 0.3941 0.7882
Pr 0.6059 0.6059 0.2118
Dy 0.0000 0.0000 0.0000
C 0.0000 0.5000 0.0000
C 0.5000 0.0000 0.0000
Cl 0.1927 0.1927 0.3855
Cl 0.8073 0.8073 0.6145

Properties
**Volume**: 22.1 A^3/atom
**Total magnetic moment**: 0.00 μB per cell
**Density of states at the Fermi level**: 0.97 states/eV per cell
**E_tot**: -5.97 eV per atom

***

No. 3
# PrDyCCl

PrDyCCl after structural relaxation (PBE, Alexandria).

Unit cell a=3.6998 b=3.6999 c=7.4423 alpha=90.00 beta=104.39 gamma=120.00
Element x y z (fractional)
Pr 0.5102 0.1530 0.6785
Dy 0.0960 0.9459 0.0572
C 0.3163 0.5561 0.8877
Cl 0.9554 0.3757 0.3463

Properties
**Volume**: 21.1 A^3/atom
**Total magnetic moment**: 0.00 μB per cell
**Density of states at the Fermi level**: 2.15 states/eV per cell
**E_tot**: -6.15 eV per atom

***

No. 4
# Dy6C2SCl2

Dy6C2SCl2 after structural relaxation (PBE, Alexandria).

Unit cell a=6.4972 b=6.4972 c=6.6904 alpha=98.69 beta=98.69 gamma=119.86
Element x y z (fractional)
Dy 0.7020 0.7020 0.7126
Dy 0.0717 0.4244 0.7096
Dy 0.2980 0.2980 0.2874
Dy 0.4244 0.0717 0.7096
Dy 0.9283 0.5756 0.2904
Dy 0.5756 0.9283 0.2904
C 0.3315 0.6685 0.5000
C 0.6685 0.3315 0.5000
S 0.0000 0.0000 0.5000
Cl 0.8404 0.1596 0.0000
Cl 0.1596 0.8404 0.0000

Properties
**Volume**: 21.2 A^3/atom
**Total magnetic moment**: 0.00 μB per cell
**Density of states at the Fermi level**: 4.65 states/eV per cell
**E_tot**: -6.02 eV per atom